--- a ---
! Na3Tl5 PBE-GGA relaxed; values from VASP
! SG: No. 69
! D(E_F) in states/eV/atom: 0.47
&SYSTEM
  ibrav = 0, nat = 8, ntyp = 2
/
ATOMIC_SPECIES
Na 22.99 Na.upf
Tl 204.38 Tl.upf
ATOMIC_POSITIONS angstrom
Na 2.511 3.772 1.609
Na 1.642 2.466 -1.496
Na 0.836 1.256 2.986
Tl 3.377 0.462 0.786
Tl 0.000 0.000 0.000
Tl -0.031 4.566 3.809
Tl -0.877 3.294 0.786
Tl 4.224 1.734 3.809
CELL_PARAMETERS angstrom
5.896 -0.366 -1.496
-2.613 5.298 -1.496
0.064 0.095 7.588

---

--- b ---
! Na3Tl5 PBE-GGA relaxed; values from VASP
! SG: No. 65
! D(E_F) in states/eV/atom: 0.48
&SYSTEM
  ibrav = 0, nat = 8, ntyp = 2
/
ATOMIC_SPECIES
Na 22.99 Na.upf
Tl 204.38 Tl.upf
ATOMIC_POSITIONS angstrom
Na 0.000 3.242 3.361
Na 2.521 5.107 1.561
Na 2.521 1.377 5.160
Tl 0.000 0.000 0.000
Tl 0.000 3.386 -0.022
Tl 0.000 -0.144 3.383
Tl 2.521 4.796 4.972
Tl 2.521 1.688 1.749
CELL_PARAMETERS angstrom
5.043 0.000 0.000
0.000 6.772 -0.044
0.000 -0.288 6.766

---

Stability order, top to bottom: b, a